A plane-wave DFT calculation with PBE was carried out for a relaxed structure of Ac2AlPdO6.

Summary:
Symmetry ... Fm-3m, No. 225
E ... -71.87 eV per formula unit
Density of states at the Fermi level ... 0.262 states/eV per atom
Uncorrected formation energy ... -25.0 eV per formula unit

Unit cell a=5.6464 b=5.6473 c=7.9850 alpha=90.00 beta=90.00 gamma=90.00
With the nearest neighbours (Å) after each atom.
Positions (direct):
Ac 0.5000 0.7501 0.2500  12 O 2.82-2.83
Ac 0.0000 0.2499 0.7500  12 O 2.82-2.83
Ac 0.5000 0.7501 0.7500  12 O 2.82-2.83
Ac 0.0000 0.2499 0.2500  12 O 2.82-2.83
Al 0.5000 0.2499 0.5000  6 O 1.91
Al 0.0000 0.7501 0.0000  6 O 1.91
Pd 0.0000 0.7499 0.5000  6 O 2.09
Pd 0.5000 0.2501 0.0000  6 O 2.09
O 0.5000 0.2498 0.2612  1 Al 1.91, 1 Pd 2.09
O 0.5000 0.2498 0.7388  1 Al 1.91, 1 Pd 2.09
O 0.0000 0.7502 0.2388  1 Al 1.91, 1 Pd 2.09
O 0.0000 0.7502 0.7612  1 Al 1.91, 1 Pd 2.09
O 0.2612 0.0111 0.5000  1 Al 1.91, 1 Pd 2.09
O 0.7388 0.0111 0.5000  1 Al 1.91, 1 Pd 2.09
O 0.2611 0.4885 0.5000  1 Al 1.91, 1 Pd 2.09
O 0.7389 0.4885 0.5000  1 Al 1.91, 1 Pd 2.09
O 0.7611 0.5115 0.0000  1 Al 1.91, 1 Pd 2.09
O 0.2389 0.5115 0.0000  1 Al 1.91, 1 Pd 2.09
O 0.2388 0.9889 0.0000  1 Al 1.91, 1 Pd 2.09
O 0.7612 0.9889 0.0000  1 Al 1.91, 1 Pd 2.09